## YCoNi (GGA-PBE)

Data for a geometry-optimized YCoNi structure.

The structure in POSCAR format:
```
YCoNi
1.0
4.327 0.000 0.000
2.163 3.747 0.000
2.163 1.249 3.533
Co Y Ni
1 1 1
direct
0.000 0.000 0.000
0.750 0.750 0.750
0.500 0.500 0.500
```

Output
Formation energy from the elements = 0.6959 eV/atom
D(E_F) = 5.2 states/eV per cell
Relative energy among the computed polymorphs = 283.5 kJ/mol of formula units
Total moment = 0.34 μB per cell